{
  "formula": "SmSnMo",
  "functional": "GGA-PBE",
  "state": "optimized geometry",
  "cell": [[0.7406, 3.2184, 3.4659], [-3.2962, 0.6454, 3.4115], [0.8699, -1.4595, 4.4758]],
  "species": ["Mo", "Sm", "Sn"],
  "frac_coords": [[0.0000, 0.0000, 0.0000], [0.2500, 0.2500, 0.2500], [0.7500, 0.7500, 0.7500]],
  "sg": "F-43m, No. 216",
  "energy_ev_per_atom": -6.077
}